1.
## RbMgIO2 (PBE)

Data for RbMgIO2 after structural relaxation.

Values from the calculation:
final energy = -2.539 eV per atom
crystal system = tetragonal
space-group type = P4/mmm

Unit cell a=4.476 b=4.476 c=6.526 alpha=90.00 beta=90.00 gamma=90.00
Element x y z (fractional)
Rb 0.000 0.000 0.000
Mg 0.500 0.500 0.000
I 0.000 0.000 0.500
O 0.000 0.500 0.500
O 0.500 0.000 0.500


2.
## MgRhI2O (PBE)

Data for MgRhI2O after structural relaxation.

Values from the calculation:
final energy = -3.442 eV per atom
crystal system = tetragonal
space-group type = P4/mmm

Unit cell a=5.719 b=5.719 c=3.694 alpha=90.00 beta=90.00 gamma=90.00
Element x y z (fractional)
Mg 0.000 0.000 0.000
Rh 0.500 0.500 0.500
I 0.000 0.500 0.000
I 0.500 0.000 0.000
O 0.000 0.000 0.500


3.
## MgRhI2O (PBE)

Data for MgRhI2O after structural relaxation.

Values from the calculation:
final energy = -3.684 eV per atom
crystal system = tetragonal
space-group type = P4/mmm

Unit cell a=5.671 b=5.671 c=3.780 alpha=90.00 beta=90.00 gamma=90.00
Element x y z (fractional)
Mg 0.000 0.000 0.000
Rh 0.500 0.500 0.500
I 0.000 0.500 0.500
I 0.500 0.000 0.500
O 0.500 0.500 0.000


4.
## MgRuI2O (PBE)

Data for MgRuI2O after structural relaxation.

Values from the calculation:
final energy = -3.649 eV per atom
crystal system = tetragonal
space-group type = P4/mmm

Unit cell a=5.739 b=5.739 c=3.726 alpha=90.00 beta=90.00 gamma=90.00
Element x y z (fractional)
Mg 0.000 0.000 0.000
Ru 0.500 0.500 0.500
I 0.000 0.500 0.000
I 0.500 0.000 0.000
O 0.000 0.000 0.500


5.
## MgRuI2O (PBE)

Data for MgRuI2O after structural relaxation.

Values from the calculation:
final energy = -4.068 eV per atom
crystal system = tetragonal
space-group type = P4/mmm

Unit cell a=5.603 b=5.603 c=3.772 alpha=90.00 beta=90.00 gamma=90.00
Element x y z (fractional)
Mg 0.000 0.000 0.000
Ru 0.500 0.500 0.500
I 0.000 0.500 0.500
I 0.500 0.000 0.500
O 0.500 0.500 0.000


6.
## MgSI2O (PBE)

Data for MgSI2O after structural relaxation.

Values from the calculation:
final energy = -2.744 eV per atom
crystal system = tetragonal
space-group type = P4/mmm

Unit cell a=5.722 b=5.722 c=3.684 alpha=90.00 beta=90.00 gamma=90.00
Element x y z (fractional)
Mg 0.000 0.000 0.000
S 0.500 0.500 0.500
I 0.000 0.500 0.500
I 0.500 0.000 0.500
O 0.500 0.500 0.000


7.
## MgSI2O (PBE)

Data for MgSI2O after structural relaxation.

Values from the calculation:
final energy = -2.814 eV per atom
crystal system = tetragonal
space-group type = P4/mmm

Unit cell a=5.778 b=5.778 c=3.690 alpha=90.00 beta=90.00 gamma=90.00
Element x y z (fractional)
Mg 0.000 0.000 0.000
S 0.500 0.500 0.500
I 0.000 0.500 0.000
I 0.500 0.000 0.000
O 0.000 0.000 0.500


8.
## MgSIO4 (PBE)

Data for MgSIO4 after structural relaxation.

Values from the calculation:
final energy = -5.373 eV per atom
crystal system = monoclinic
space-group type = C2/m

Unit cell a=7.433 b=7.433 c=5.652 alpha=99.83 beta=99.83 gamma=65.46
Element x y z (fractional)
Mg 0.141 0.141 0.318
Mg 0.859 0.859 0.682
S 0.136 0.136 0.767
S 0.864 0.864 0.233
I 0.468 0.468 0.735
I 0.532 0.532 0.265
O 0.016 0.310 0.628
O 0.018 0.018 0.775
O 0.199 0.199 0.021
O 0.310 0.016 0.628
O 0.690 0.984 0.372
O 0.801 0.801 0.979
O 0.982 0.982 0.225
O 0.984 0.690 0.372


9.
## Mg2SIO (PBE)

Data for Mg2SIO after structural relaxation.

Values from the calculation:
final energy = -3.222 eV per atom
crystal system = tetragonal
space-group type = P4/mmm

Unit cell a=4.952 b=4.952 c=4.089 alpha=90.00 beta=90.00 gamma=90.00
Element x y z (fractional)
Mg 0.000 0.500 0.000
Mg 0.500 0.000 0.000
S 0.000 0.000 0.000
I 0.500 0.500 0.500
O 0.000 0.000 0.500


10.
## MgSbI2O (PBE)

Data for MgSbI2O after structural relaxation.

Values from the calculation:
final energy = -3.202 eV per atom
crystal system = tetragonal
space-group type = P4/mmm

Unit cell a=5.878 b=5.878 c=3.762 alpha=90.00 beta=90.00 gamma=90.00
Element x y z (fractional)
Mg 0.000 0.000 0.000
Sb 0.500 0.500 0.500
I 0.000 0.500 0.000
I 0.500 0.000 0.000
O 0.000 0.000 0.500


11.
## MgSbI2O (PBE)

Data for MgSbI2O after structural relaxation.

Values from the calculation:
final energy = -3.077 eV per atom
crystal system = tetragonal
space-group type = P4/mmm

Unit cell a=6.185 b=6.185 c=4.113 alpha=90.00 beta=90.00 gamma=90.00
Element x y z (fractional)
Mg 0.000 0.000 0.000
Sb 0.500 0.500 0.500
I 0.000 0.500 0.500
I 0.500 0.000 0.500
O 0.500 0.500 0.000


12.
## MgSbI2O (PBE)

Data for MgSbI2O after structural relaxation.

Values from the calculation:
final energy = -2.155 eV per atom
crystal system = tetragonal
space-group type = P4/mmm

Unit cell a=5.530 b=5.530 c=5.705 alpha=90.00 beta=90.00 gamma=90.00
Element x y z (fractional)
Mg 0.000 0.000 0.000
Sb 0.000 0.000 0.500
I 0.000 0.500 0.000
I 0.500 0.000 0.000
O 0.500 0.500 0.500


- Which of these has the lowest final energy?
  MgSIO4